1.
The following is a DFT calculation (GGA-PBE) of YB3Te after structural relaxation.

Lattice parameters (Å, degrees): 4.4350 4.4350 4.4350 90.00 90.00 90.00
Element x y z (fractional)
1 Y 0.5000 0.5000 0.5000
2 B 0.0000 0.5000 0.0000
3 B 0.0000 0.0000 0.5000
4 B 0.5000 0.0000 0.0000
5 Te 0.0000 0.0000 0.0000

Crystal system = cubic
ΔE to the lowest computed polymorph = 0.0 kJ/mol of atoms

---

2.
The following is a DFT calculation (GGA-PBE) of YBTe3 after structural relaxation.

Lattice parameters (Å, degrees): 5.8575 5.8575 5.8575 90.00 90.00 90.00
Element x y z (fractional)
1 Y 0.0000 0.0000 0.0000
2 B 0.5000 0.5000 0.5000
3 Te 0.0000 0.5000 0.0000
4 Te 0.0000 0.0000 0.5000
5 Te 0.5000 0.0000 0.0000

Crystal system = cubic
ΔE to the lowest computed polymorph = 69.9 kJ/mol of atoms

---

no.,magnetic moment (μB per atom)
1,0.000
2,0.000